Entry 1:
Nd2Y6Er | PBE | relaxed

POSCAR file:
```
Nd2Y6Er
1.0
6.597 -0.078 -0.075
1.648 9.486 -0.838
1.648 -0.530 9.508
Nd Y Er
4 12 2
Direct
0.127 0.617 0.666
0.373 0.334 0.383
0.873 0.383 0.334
0.627 0.666 0.617
0.506 0.652 0.275
0.994 0.725 0.348
0.494 0.348 0.725
0.006 0.275 0.652
0.727 0.060 0.459
0.773 0.541 0.940
0.273 0.940 0.541
0.227 0.459 0.060
0.311 0.778 0.956
0.189 0.044 0.222
0.689 0.222 0.044
0.811 0.956 0.778
0.250 0.117 0.883
0.750 0.883 0.117
```

Entry 2:
Nd5Y4Er2 | PBE | relaxed

POSCAR file:
```
Nd5Y4Er2
1.0
3.545 0.000 0.000
0.000 9.175 0.000
-1.772 -4.588 11.844
Nd Y Er
5 4 2
Direct
0.853 0.053 0.705
0.853 0.652 0.705
0.147 0.348 0.295
0.147 0.947 0.295
0.500 0.000 0.000
0.000 0.312 0.000
0.598 0.598 0.196
0.000 0.688 0.000
0.402 0.402 0.804
0.269 0.269 0.539
0.731 0.731 0.461
```

Output
Energy above the most stable polymorph in this dataset   201 meV/atom

Entry 3:
Nd4Y3Er5 | PBE | relaxed

POSCAR file:
```
Nd4Y3Er5
1.0
5.927 0.000 0.000
2.963 7.631 -2.605
2.963 -0.847 9.170
Nd Y Er
4 3 5
Direct
0.864 0.222 0.050
0.167 0.049 0.616
0.833 0.951 0.384
0.136 0.778 0.950
0.525 0.689 0.261
0.000 0.500 0.500
0.475 0.311 0.739
0.633 0.936 0.798
0.500 0.500 0.500
0.210 0.460 0.119
0.790 0.540 0.881
0.367 0.064 0.202
```

In eV per atom, the energy of formation values for the records above are, in order, 0.11 0.22 0.23.